Ce4YTh3As8, optimized geometry, DFT PBE; total energy = -112.8 eV/cell; calculated density = 7.56 g/cm³; symmetry = R-3m, No. 166; formation enthalpy at 0 K = -1444 meV per atom
1.0
4.225 2.439 6.905
-4.225 2.439 6.905
0.000 -4.878 6.905
Ce Y Th As
4 1 3 8
direct
0.000 0.000 0.000 Ce
0.000 0.500 0.500 Ce
0.500 0.000 0.500 Ce
0.500 0.500 0.000 Ce
0.500 0.500 0.500 Y
0.000 0.000 0.500 Th
0.000 0.500 0.000 Th
0.500 0.000 0.000 Th
0.251 0.251 0.251 As
0.252 0.252 0.747 As
0.252 0.747 0.252 As
0.253 0.748 0.748 As
0.747 0.252 0.252 As
0.748 0.253 0.748 As
0.748 0.748 0.253 As
0.749 0.749 0.749 As


Ce3YTh2As6, optimized geometry, DFT PBE; total energy = -84.4 eV/cell; calculated density = 7.40 g/cm³; symmetry = C2/m, No. 12; formation enthalpy at 0 K = -1451 meV per atom
1.0
3.654 -6.327 0.000
3.654 6.327 0.000
-2.436 0.000 6.906
Ce Y Th As
3 1 2 6
direct
0.000 0.000 0.000 Ce
0.333 0.667 0.000 Ce
0.667 0.333 0.000 Ce
0.500 0.500 0.500 Y
0.166 0.834 0.500 Th
0.834 0.166 0.500 Th
0.087 0.417 0.251 As
0.254 0.254 0.750 As
0.417 0.087 0.251 As
0.583 0.913 0.749 As
0.746 0.746 0.250 As
0.913 0.583 0.749 As


Ce3YTh4As8, optimized geometry, DFT PBE; total energy = -114.2 eV/cell; calculated density = 7.91 g/cm³; symmetry = R-3m, No. 166; formation enthalpy at 0 K = -1439 meV per atom
1.0
4.231 2.442 6.894
-4.231 2.442 6.894
0.000 -4.885 6.894
Ce Y Th As
3 1 4 8
direct
0.000 0.500 0.500 Ce
0.500 0.000 0.500 Ce
0.500 0.500 0.000 Ce
0.000 0.000 0.000 Y
0.000 0.000 0.500 Th
0.000 0.500 0.000 Th
0.500 0.000 0.000 Th
0.500 0.500 0.500 Th
0.248 0.248 0.751 As
0.248 0.751 0.248 As
0.249 0.752 0.752 As
0.251 0.251 0.251 As
0.749 0.749 0.749 As
0.751 0.248 0.248 As
0.752 0.249 0.752 As
0.752 0.752 0.249 As


CeY2ThAs4, optimized geometry, DFT PBE; total energy = -56.9 eV/cell; calculated density = 6.81 g/cm³; symmetry = P2/m, No. 10; formation enthalpy at 0 K = -1497 meV per atom
1.0
7.225 0.000 0.000
0.000 4.193 0.000
-2.430 0.000 6.839
Ce Y Th As
1 2 1 4
direct
0.000 0.000 0.000 Ce
0.500 0.000 0.500 Y
0.500 0.500 0.000 Y
0.000 0.500 0.500 Th
0.255 0.500 0.251 As
0.256 0.000 0.753 As
0.744 0.000 0.247 As
0.745 0.500 0.749 As


CeYTh2As4, optimized geometry, DFT PBE; total energy = -57.5 eV/cell; calculated density = 7.78 g/cm³; symmetry = P2/m, No. 10; formation enthalpy at 0 K = -1452 meV per atom
1.0
7.287 0.000 0.000
0.000 4.222 0.000
-2.445 0.000 6.887
Ce Y Th As
1 1 2 4
direct
0.000 0.000 0.000 Ce
0.000 0.500 0.500 Y
0.500 0.000 0.500 Th
0.500 0.500 0.000 Th
0.245 0.000 0.747 As
0.246 0.500 0.251 As
0.754 0.500 0.749 As
0.755 0.000 0.253 As


Ce2ThZrAs4, optimized geometry, DFT PBE; total energy = -57.1 eV/cell; calculated density = 7.47 g/cm³; symmetry = P2/m, No. 10; formation enthalpy at 0 K = -1337 meV per atom
1.0
7.162 0.000 0.000
0.000 4.139 0.000
-2.376 0.000 6.775
Ce Th Zr As
2 1 1 4
direct
0.000 0.000 0.000 Ce
0.500 0.500 0.000 Ce
0.000 0.500 0.500 Th
0.500 0.000 0.500 Zr
0.261 0.000 0.745 As
0.266 0.500 0.262 As
0.734 0.500 0.738 As
0.739 0.000 0.255 As


CeTiAs3, optimized geometry, DFT PBE; total energy = -129.6 eV/cell; calculated density = 6.54 g/cm³; symmetry = Pbcm, No. 57; formation enthalpy at 0 K = -926 meV per atom
1.0
12.494 0.000 0.000
0.000 5.789 0.000
0.000 0.000 5.792
Ce Ti As
4 4 12
direct
0.184 0.008 0.250 Ce
0.184 0.492 0.750 Ce
0.816 0.508 0.250 Ce
0.816 0.992 0.750 Ce
0.418 0.750 0.000 Ti
0.418 0.750 0.500 Ti
0.582 0.250 0.000 Ti
0.582 0.250 0.500 Ti
0.002 0.750 0.000 As
0.002 0.750 0.500 As
0.273 0.517 0.250 As
0.273 0.983 0.750 As
0.423 0.111 0.250 As
0.423 0.389 0.750 As
0.577 0.611 0.250 As
0.577 0.889 0.750 As
0.727 0.017 0.250 As
0.727 0.483 0.750 As
0.998 0.250 0.000 As
0.998 0.250 0.500 As


CeTlAs2, optimized geometry, DFT PBE; total energy = -19.7 eV/cell; ΔE to the lowest computed polymorph = 0.099 eV/atom; calculated density = 7.30 g/cm³; symmetry = R-3m, No. 166; formation enthalpy at 0 K = -526 meV per atom
1.0
2.182 1.260 6.818
-2.182 1.260 6.818
0.000 -2.520 6.818
Ce Tl As
1 1 2
direct
0.000 0.000 0.000 Ce
0.500 0.500 0.500 Tl
0.262 0.262 0.262 As
0.738 0.738 0.738 As